## SmCoO3 (GGA+U)

Data for crystalline SmCoO3 at its relaxed geometry.

a b c (Å): 3.7473 3.7473 3.8163
angles (deg): 90.00 90.00 90.00
Space group P4mm (No. 99)
One atom of each set of equivalent atoms:
Sm: 0.0000 0.0000 0.0000 [1 per cell]
Co: 0.5000 0.5000 0.5000 [1 per cell]
O: 0.0000 0.5000 0.5038 [2 per cell]
O: 0.5000 0.5000 0.0002 [1 per cell]

Final energy ... -34.990 eV/cell
Volume ... 53.59 Å³/f.u.